1.
{"formula": "LaScGe2Ru", "functional": "PBE-GGA", "state": "optimized geometry", "lattice_angstrom": [[-2.0854, 2.0854, 5.8990], [2.0854, -2.0854, 5.8990], [2.0854, 2.0854, -5.8990]], "species": ["La", "Sc", "Ge", "Ge", "Ru"], "fractional_positions": [[0.0000, 0.0000, 0.0000], [0.2500, 0.7500, 0.5000], [0.3903, 0.3903, 0.0000], [0.6097, 0.6097, 0.0000], [0.7500, 0.2500, 0.5000]], "delta_e_f_mev_per_atom": -755, "e_tot_ev_per_cell": -33.546, "spacegroup": "I-4m2 (119)"}

=====

2.
{"formula": "TaCr2B2", "functional": "PBE-GGA", "state": "optimized geometry", "lattice_angstrom": [[-1.6520, 1.6520, 4.7179], [1.6520, -1.6520, 4.7179], [1.6520, 1.6520, -4.7179]], "species": ["Ta", "Cr", "Cr", "B", "B"], "fractional_positions": [[0.0000, 0.0000, 0.0000], [0.2500, 0.7500, 0.5000], [0.7500, 0.2500, 0.5000], [0.4079, 0.4079, 0.0000], [0.5921, 0.5921, 0.0000]], "delta_e_f_mev_per_atom": -453, "e_tot_ev_per_cell": -46.721, "spacegroup": "I4/mmm (139)"}

=====

3.
{"formula": "BaZrBr2", "functional": "PBE-GGA", "state": "optimized geometry", "lattice_angstrom": [[0.0000, 3.7895, 3.7895], [3.7895, 0.0000, 3.7895], [3.7895, 3.7895, 0.0000]], "species": ["Ba", "Zr", "Br", "Br"], "fractional_positions": [[0.0000, 0.0000, 0.0000], [0.5000, 0.5000, 0.5000], [0.2500, 0.2500, 0.2500], [0.7500, 0.7500, 0.7500]], "e_tot_ev_per_cell": -15.802, "spacegroup": "Fm-3m (225)", "raw_formation_energy_ev_per_fu": -1.99}